A PBEsol-optimized structure of YCuAs2, computed with meta-GGA SCAN.

```
YCuAs2
1.0
3.538 0.025 0.000
-1.103 3.361 0.000
0.000 0.000 6.401
As Cu Y
2 1 1
direct
0.000 0.000 0.285 As
0.000 0.000 0.715 As
0.500 0.500 0.500 Cu
0.500 0.500 0.000 Y
```

Output
Energy relative to the elements in eV per atom: -0.44

A PBEsol-optimized structure of Y2CuAs, computed with meta-GGA SCAN.

```
Y2CuAs
1.0
3.997 0.000 0.000
0.000 4.013 0.000
-1.998 0.000 5.296
Y As Cu
2 1 1
direct
0.982 0.500 0.964 Y
0.267 0.000 0.534 Y
0.550 0.000 0.100 As
0.701 0.500 0.402 Cu
```

Output
Energy relative to the elements in eV per atom: -0.95

A PBEsol-optimized structure of YZnCuAs2, computed with meta-GGA SCAN.

```
YZnCuAs2
1.0
-1.804 3.067 1.953
-1.476 -3.767 0.333
3.893 -1.061 5.262
Y As Zn Cu
1 2 1 1
direct
0.000 0.000 0.015 Y
0.667 0.333 0.748 As
0.333 0.667 0.253 As
0.333 0.667 0.625 Zn
0.667 0.333 0.358 Cu
```

Output
Energy relative to the elements in eV per atom: -0.77

A PBEsol-optimized structure of ZnCu2As, computed with meta-GGA SCAN.

```
ZnCu2As
1.0
-0.375 -2.655 -0.491
4.284 -0.346 -1.398
0.777 0.441 4.591
As Cu Zn
1 2 1
direct
0.739 0.223 0.478 As
0.992 0.003 0.984 Cu
0.258 0.741 0.517 Cu
0.510 0.533 0.020 Zn
```

Output
Energy relative to the elements in eV per atom: 0.10
Relative energy among the computed polymorphs in eV per atom: 0.044

A PBEsol-optimized structure of ZnCuAs2, computed with meta-GGA SCAN.

```
ZnCuAs2
1.0
3.125 0.000 0.000
0.000 3.125 0.000
0.000 0.000 6.910
As Cu Zn
2 1 1
direct
0.000 0.000 0.927 As
0.500 0.500 0.334 As
0.000 0.000 0.522 Cu
0.500 0.500 0.717 Zn
```

Output
Energy relative to the elements in eV per atom: 0.18

A PBEsol-optimized structure of ZnCu2As, computed with meta-GGA SCAN.

```
ZnCu2As
1.0
2.950 0.000 0.000
0.000 3.567 0.000
0.000 0.000 5.148
As Cu Zn
1 2 1
direct
0.500 0.500 0.770 As
0.000 0.000 0.000 Cu
0.500 0.500 0.253 Cu
0.000 0.000 0.476 Zn
```

Output
Energy relative to the elements in eV per atom: 0.06
Relative energy among the computed polymorphs in eV per atom: 0.005

A PBEsol-optimized structure of ZnCu2As, computed with meta-GGA SCAN.

```
ZnCu2As
1.0
3.693 0.000 0.000
0.000 3.691 0.000
-1.847 -1.845 3.919
As Cu Zn
1 2 1
direct
0.750 0.250 0.500 As
0.000 0.000 0.000 Cu
0.250 0.750 0.500 Cu
0.500 0.500 0.000 Zn
```

Output
Energy relative to the elements in eV per atom: 0.06
Relative energy among the computed polymorphs in eV per atom: 0.000

A PBEsol-optimized structure of ZnCu2As, computed with meta-GGA SCAN.

```
ZnCu2As
1.0
-2.691 0.143 0.401
0.078 -2.356 1.367
1.151 3.746 6.393
As Cu Zn
1 2 1
direct
0.500 0.500 0.777 As
0.000 0.000 0.023 Cu
0.500 0.500 0.241 Cu
0.000 0.000 0.458 Zn
```

Output
Energy relative to the elements in eV per atom: 0.12
Relative energy among the computed polymorphs in eV per atom: 0.066

A PBEsol-optimized structure of ZrCu3As, computed with meta-GGA SCAN.

```
ZrCu3As
1.0
4.381 0.000 0.000
0.000 4.381 0.000
0.000 0.000 4.381
As Cu Zr
1 3 1
direct
0.000 0.000 0.000 As
0.000 0.500 0.000 Cu
0.000 0.000 0.500 Cu
0.500 0.000 0.000 Cu
0.500 0.500 0.500 Zr
```

Output
Energy relative to the elements in eV per atom: 0.39

A PBEsol-optimized structure of ZrCu2As, computed with meta-GGA SCAN.

```
ZrCu2As
1.0
-0.849 -2.453 1.414
1.103 -0.623 2.671
-6.157 3.186 4.922
As Cu Zr
1 2 1
direct
0.258 0.258 0.227 As
0.002 0.002 0.993 Cu
0.742 0.742 0.774 Cu
0.498 0.498 0.506 Zr
```

Output
Energy relative to the elements in eV per atom: 0.11

A PBEsol-optimized structure of ZrCu2As, computed with meta-GGA SCAN.

```
ZrCu2As
1.0
-1.700 2.705 1.223
-0.752 -1.755 2.838
4.484 1.782 2.290
As Cu Zr
1 2 1
direct
0.500 0.500 0.500 As
0.000 0.000 0.740 Cu
0.000 0.000 0.260 Cu
0.500 0.500 0.000 Zr
```

Output
Energy relative to the elements in eV per atom: -0.16

A PBEsol-optimized structure of Zr3CuAs, computed with meta-GGA SCAN.

```
Zr3CuAs
1.0
-1.902 3.106 -3.116
-0.250 -3.465 -3.302
-4.393 -1.148 1.537
As Cu Zr
1 1 3
direct
0.500 0.500 0.500 As
0.000 0.000 0.000 Cu
0.000 0.500 0.000 Zr
0.000 0.000 0.500 Zr
0.500 0.000 0.000 Zr
```

Output
Energy relative to the elements in eV per atom: 0.23

A PBEsol-optimized structure of DyAs, computed with meta-GGA SCAN.

```
DyAs
1.0
-0.499 4.002 0.442
-0.370 1.600 3.710
2.996 2.260 1.542
As Dy
1 1
direct
0.000 0.000 0.000 As
0.500 0.500 0.500 Dy
```

Output
Energy relative to the elements in eV per atom: -1.71

A PBEsol-optimized structure of Dy2As7Rh12, computed with meta-GGA SCAN.

```
Dy2As7Rh12
1.0
3.862 0.000 0.000
0.000 9.832 0.000
0.000 -4.916 8.515
Dy As Rh
2 7 12
direct
0.241 0.667 0.333 Dy
0.749 0.333 0.667 Dy
0.495 0.000 0.000 As
0.246 0.118 0.712 As
0.246 0.594 0.882 As
0.246 0.288 0.406 As
0.745 0.882 0.288 As
0.745 0.406 0.118 As
0.745 0.712 0.594 As
0.246 0.381 0.935 Rh
0.246 0.554 0.619 Rh
0.246 0.065 0.446 Rh
0.744 0.619 0.065 Rh
0.744 0.446 0.381 Rh
0.744 0.935 0.554 Rh
0.239 0.885 0.737 Rh
0.239 0.851 0.115 Rh
0.239 0.263 0.149 Rh
0.751 0.115 0.263 Rh
0.751 0.149 0.885 Rh
0.751 0.737 0.851 Rh
```

Output
Energy relative to the elements in eV per atom: -0.84

A PBEsol-optimized structure of DyAsS, computed with meta-GGA SCAN.

```
DyAsS
1.0
-1.803 1.085 3.076
-2.933 -6.264 0.490
7.178 -2.951 5.249
As S Dy
4 4 4
direct
0.250 0.105 0.958 As
0.750 0.395 0.458 As
0.250 0.605 0.542 As
0.750 0.895 0.042 As
0.750 0.411 0.841 S
0.250 0.089 0.341 S
0.750 0.911 0.659 S
0.250 0.589 0.159 S
0.750 0.795 0.341 Dy
0.250 0.205 0.659 Dy
0.750 0.295 0.159 Dy
0.250 0.705 0.841 Dy
```

Output
Raw total energy in eV per atom: -27.543

A PBEsol-optimized structure of DyAsS, computed with meta-GGA SCAN.

```
DyAsS
1.0
-0.746 1.086 3.534
-2.146 -3.063 0.488
6.686 -4.251 2.716
As S Dy
2 2 2
direct
0.000 0.000 0.000 As
0.500 0.500 0.000 As
0.000 0.500 0.374 S
0.500 0.000 0.626 S
0.000 0.500 0.709 Dy
0.500 0.000 0.291 Dy
```

Output
Raw total energy in eV per atom: -27.647

A PBEsol-optimized structure of DyAsSe, computed with meta-GGA SCAN.

```
DyAsSe
1.0
3.851 0.000 0.000
0.000 3.881 0.000
0.000 0.000 17.241
As Se Dy
4 4 4
direct
0.250 0.718 0.999 As
0.750 0.282 0.001 As
0.250 0.782 0.499 As
0.750 0.218 0.501 As
0.750 0.735 0.812 Se
0.250 0.265 0.188 Se
0.750 0.765 0.312 Se
0.250 0.235 0.688 Se
0.750 0.734 0.639 Dy
0.250 0.266 0.361 Dy
0.750 0.766 0.139 Dy
0.250 0.234 0.861 Dy
```

Output
Raw total energy in eV per atom: -30.975

A PBEsol-optimized structure of ErAs, computed with meta-GGA SCAN.

```
ErAs
1.0
4.021 0.000 0.000
2.010 3.482 0.000
2.010 1.161 3.283
As Er
1 1
direct
0.500 0.500 0.500 As
0.000 0.000 0.000 Er
```

Output
Energy relative to the elements in eV per atom: -1.69

A PBEsol-optimized structure of Er5Ga2As, computed with meta-GGA SCAN.

```
Er5Ga2As
1.0
-4.899 -3.058 2.500
4.236 -7.154 -0.449
0.525 4.740 6.825
Er Ga As
10 4 2
direct
0.753 0.331 0.666 Er
0.753 0.666 0.331 Er
0.247 0.666 0.331 Er
0.247 0.331 0.666 Er
0.500 0.004 0.244 Er
0.500 0.244 0.004 Er
0.500 0.759 0.759 Er
0.000 0.999 0.761 Er
0.000 0.761 0.999 Er
0.000 0.239 0.239 Er
0.500 0.401 0.401 Ga
0.000 0.998 0.397 Ga
0.000 0.397 0.998 Ga
0.000 0.598 0.598 Ga
0.500 0.000 0.607 As
0.500 0.607 0.000 As
```

Output
Energy relative to the elements in eV per atom: -0.80

A PBEsol-optimized structure of Er2Ni12As7, computed with meta-GGA SCAN.

```
Er2Ni12As7
1.0
-1.311 -2.734 2.235
-3.506 -4.324 -7.346
8.593 -1.854 2.772
Er Ni As
2 12 7
direct
0.500 0.333 0.667 Er
0.000 0.667 0.333 Er
0.000 0.560 0.617 Ni
0.000 0.383 0.943 Ni
0.000 0.057 0.440 Ni
0.000 0.849 0.130 Ni
0.000 0.870 0.719 Ni
0.000 0.281 0.151 Ni
0.500 0.623 0.049 Ni
0.500 0.951 0.575 Ni
0.500 0.425 0.377 Ni
0.500 0.790 0.886 Ni
0.500 0.114 0.904 Ni
0.500 0.096 0.210 Ni
0.000 0.000 0.000 As
0.000 0.597 0.882 As
0.000 0.118 0.715 As
0.000 0.285 0.403 As
0.500 0.890 0.299 As
0.500 0.701 0.592 As
0.500 0.408 0.110 As
```

Output
Energy relative to the elements in eV per atom: -0.59

One value per record, in order, for volume: 19.07 21.24 18.93 13.60 16.87 13.54 13.35 13.92 16.81 15.76 15.62 22.02 23.62 15.40 20.18 19.86 21.47 22.99 23.59 13.20 A^3/atom.